{
  "formula": "Rb2MoSeO6",
  "functional": "PBE+U",
  "state": "relaxed",
  "lattice": [[7.8859, 0.0000, 0.0000], [0.0000, 6.3608, 0.0000], [0.0000, 0.0000, 14.9134]],
  "species": ["Rb", "Rb", "Rb", "Rb", "Rb", "Rb", "Rb", "Rb", "Mo", "Mo", "Mo", "Mo", "Se", "Se", "Se", "Se", "O", "O", "O", "O", "O", "O", "O", "O", "O", "O", "O", "O", "O", "O", "O", "O", "O", "O", "O", "O", "O", "O", "O", "O"],
  "fractional_positions": [[0.1228, 0.2500, 0.0380], [0.1548, 0.2500, 0.3046], [0.3452, 0.7500, 0.8046], [0.3772, 0.7500, 0.5380], [0.6228, 0.2500, 0.4620], [0.6548, 0.2500, 0.1954], [0.8452, 0.7500, 0.6954], [0.8772, 0.7500, 0.9620], [0.1006, 0.2500, 0.7684], [0.3994, 0.7500, 0.2684], [0.6006, 0.2500, 0.7316], [0.8994, 0.7500, 0.2316], [0.0816, 0.2500, 0.5653], [0.4184, 0.7500, 0.0653], [0.5816, 0.2500, 0.9347], [0.9184, 0.7500, 0.4347], [0.0523, 0.0267, 0.8348], [0.0523, 0.4733, 0.8348], [0.1116, 0.0492, 0.6448], [0.1116, 0.4508, 0.6448], [0.1682, 0.7500, 0.2748], [0.2452, 0.7500, 0.9996], [0.2548, 0.2500, 0.4996], [0.3318, 0.2500, 0.7748], [0.3884, 0.5492, 0.1448], [0.3884, 0.9508, 0.1448], [0.4477, 0.5267, 0.3348], [0.4477, 0.9733, 0.3348], [0.5523, 0.0267, 0.6652], [0.5523, 0.4733, 0.6652], [0.6116, 0.0492, 0.8552], [0.6116, 0.4508, 0.8552], [0.6682, 0.7500, 0.2252], [0.7452, 0.7500, 0.5004], [0.7548, 0.2500, 0.0004], [0.8318, 0.2500, 0.7252], [0.8884, 0.5492, 0.3552], [0.8884, 0.9508, 0.3552], [0.9477, 0.5267, 0.1652], [0.9477, 0.9733, 0.1652]],
  "dft_energy_ev_per_cell": -231.3,
  "vol_a3_per_atom": 18.70
}